The following is a DFT calculation (PBE) of crystalline Pu2MgB2Rh5 at its relaxed geometry.

Properties
SG   No. 127
E_form   -0.54 eV/atom
Total DFT energy (no corrections)   -0.630 Ry per atom
Fermi-level density of states   47.02 states/eV per cell

abc: 9.740 9.740 3.165
angles: 90.00 90.00 90.00
Positions (direct):
Pu 0.177 0.323 0.000
Pu 0.323 0.823 0.000
Pu 0.677 0.177 0.000
Pu 0.823 0.677 0.000
Mg 0.000 0.000 0.000
Mg 0.500 0.500 0.000
B 0.122 0.622 0.000
B 0.378 0.122 0.000
B 0.622 0.878 0.000
B 0.878 0.378 0.000
Rh 0.000 0.500 0.500
Rh 0.070 0.774 0.500
Rh 0.226 0.070 0.500
Rh 0.274 0.570 0.500
Rh 0.430 0.274 0.500
Rh 0.500 0.000 0.500
Rh 0.570 0.726 0.500
Rh 0.726 0.430 0.500
Rh 0.774 0.930 0.500
Rh 0.930 0.226 0.500